Record 1
The following is a PBE calculation of a relaxed structure of Dy3Ga2Rh, from Alexandria via LeMat-Bulk.

Cell lengths 11.8380, 4.2627, 11.1852 Å; angles 90.00, 90.00, 90.00 degrees
Space group Pnma (No. 62)
Unique sites:
Dy: 0.0478 0.2500 0.1250 [4 per cell]
Dy: 0.1166 0.7500 0.5579 [4 per cell]
Dy: 0.2291 0.2500 0.8016 [4 per cell]
Ga: 0.0093 0.7500 0.3027 [4 per cell]
Ga: 0.1919 0.7500 0.0082 [4 per cell]
Rh: 0.1237 0.2500 0.3793 [4 per cell]

Computed properties:
energy of formation: -679 meV/atom
raw total energy: -5.2138 eV per atom


Record 2
The following is a PBE calculation of a relaxed structure of Dy2Ga3Rh, from Alexandria via LeMat-Bulk.

Cell lengths 10.3669, 4.3226, 7.0608 Å; angles 90.00, 131.09, 90.00 degrees
Space group Cm (No. 8)
Unique sites:
Dy: 0.0000 0.0000 0.0000 [2 per cell]
Dy: 0.0954 0.0000 0.6050 [2 per cell]
Ga: 0.2131 0.5000 0.3941 [2 per cell]
Ga: 0.3800 0.0000 0.1908 [2 per cell]
Ga: 0.3909 0.0000 0.6005 [2 per cell]
Rh: 0.2082 0.5000 0.9979 [2 per cell]

Computed properties:
energy of formation: -760 meV/atom
raw total energy: -5.0327 eV per atom


Record 3
The following is a PBE calculation of a relaxed structure of Dy2GaRh, from Alexandria via LeMat-Bulk.

Cell lengths 5.9811, 3.8811, 8.3019 Å; angles 90.00, 109.08, 90.00 degrees
Space group P2_1/m (No. 11)
Unique sites:
Dy: 0.1897 0.2500 0.4085 [2 per cell]
Dy: 0.2709 0.7500 0.0561 [2 per cell]
Ga: 0.3658 0.7500 0.7101 [2 per cell]
Rh: 0.1186 0.2500 0.7910 [2 per cell]

Computed properties:
energy of formation: -747 meV/atom
raw total energy: -5.6429 eV per atom


Record 4
The following is a PBE calculation of a relaxed structure of Dy3Ga8Rh3, from Alexandria via LeMat-Bulk.

Cell lengths 4.2068, 9.8004, 12.3467 Å; angles 90.00, 90.00, 90.00 degrees
Space group Immm (No. 71)
Unique sites:
Dy: 0.0000 0.0000 0.0000 [2 per cell]
Dy: 0.0000 0.0000 0.3294 [4 per cell]
Ga: 0.0000 0.2831 0.1228 [8 per cell]
Ga: 0.0000 0.3699 0.3299 [8 per cell]
Rh: 0.0000 0.2219 0.5000 [4 per cell]
Rh: 0.0000 0.5000 0.0000 [2 per cell]

Computed properties:
distance to the lowest polymorph of the same formula: 0.40 kJ per mole of atoms
energy of formation: -715 meV/atom
raw total energy: -5.0065 eV per atom